DFT (GGA+U) results for crystalline VOsRuO6 at its relaxed geometry.

Properties
The total magnetization is 1.33 μB/f.u. As for the raw total energy: -68.80 eV per formula unit. Its symmetry is P-31c (163).

Lattice parameters (Å, degrees): 4.962 4.962 8.948 90.00 90.00 120.00
Sites, in units of the cell vectors:
1 V 0.667 0.333 0.750
2 V 0.333 0.667 0.250
3 O 0.665 0.996 0.874
4 O 0.335 0.331 0.374
5 O 0.335 0.004 0.126
6 O 0.331 0.335 0.874
7 O 0.669 0.665 0.126
8 O 0.665 0.669 0.626
9 O 0.331 0.996 0.626
10 O 0.004 0.335 0.626
11 O 0.669 0.004 0.374
12 O 0.004 0.669 0.874
13 O 0.996 0.331 0.126
14 O 0.996 0.665 0.374
15 Ru 0.000 0.000 0.500
16 Ru 0.000 0.000 0.000
17 Os 0.333 0.667 0.750
18 Os 0.667 0.333 0.250